The following is a DFT calculation (GGA-PBE) of a relaxed structure of Cd3Cu2.

Values from the calculation:
* offset from the most stable computed form: 0.0702 eV/atom
* ΔE_f: 11.1 kJ/mol of atoms
* volume: 17.869 Å³/atom

The structure in extended XYZ format:
```
5
Lattice="11.9847 -1.4688 0.0495 11.9847 1.4688 0.0495 11.7942 0.0000 2.5864" Properties=species:S:1:pos:R:3 pbc="T T T"
Cd 0.0000 0.0000 0.0000
Cd 7.4179 0.0000 0.5570
Cd 28.3457 0.0000 2.1284
Cu 14.1662 0.0000 1.0637
Cu 21.5975 0.0000 1.6217
```